LaNb3Si: relaxed, GGA-PBE.

Calculated values
electronic total energy	-38.23	eV/f.u.
E_form (uncorrected)	225	kJ/mol of formula units
distance to the lowest polymorph of the same formula	0.000	eV/atom

a = 4.862 Å, b = 4.862 Å, c = 4.862 Å
α = 90.00°, β = 90.00°, γ = 90.00°
Element x y z (fractional)
Nb: 0.000 0.500 0.000
Nb: 0.000 0.000 0.500
Nb: 0.500 0.000 0.000
Si: 0.000 0.000 0.000
La: 0.500 0.500 0.500

=====

La2NbSi2: relaxed, GGA-PBE.

Calculated values
electronic total energy	-32.92	eV/f.u.
E_form (uncorrected)	-208	kJ/mol of formula units

a = 7.252 Å, b = 7.252 Å, c = 4.530 Å
α = 90.00°, β = 90.00°, γ = 90.00°
Element x y z (fractional)
Nb: 0.000 0.000 0.000
Nb: 0.500 0.500 0.000
Si: 0.378 0.878 0.000
Si: 0.878 0.622 0.000
Si: 0.622 0.122 0.000
Si: 0.122 0.378 0.000
La: 0.180 0.680 0.500
La: 0.680 0.820 0.500
La: 0.820 0.320 0.500
La: 0.320 0.180 0.500

=====

LaNb2SiSn: relaxed, GGA-PBE.

Calculated values
electronic total energy	-24.77	eV/f.u.
E_form (uncorrected)	938	kJ/mol of formula units

a = 4.953 Å, b = 5.868 Å, c = 4.953 Å
α = 90.00°, β = 90.00°, γ = 90.00°
Element x y z (fractional)
Nb: 0.000 0.000 0.500
Nb: 0.500 0.000 0.000
Si: 0.500 0.500 0.500
Sn: 0.000 0.500 0.000
La: 0.000 0.000 0.000

=====

SrLaNb2Si: relaxed, GGA-PBE.

Calculated values
electronic total energy	-25.36	eV/f.u.
E_form (uncorrected)	657	kJ/mol of formula units

a = 5.085 Å, b = 5.698 Å, c = 5.085 Å
α = 90.00°, β = 90.00°, γ = 90.00°
Element x y z (fractional)
Sr: 0.500 0.500 0.500
Nb: 0.000 0.000 0.500
Nb: 0.500 0.000 0.000
Si: 0.000 0.500 0.000
La: 0.000 0.000 0.000

=====

LaNb2SiTc: relaxed, GGA-PBE.

Calculated values
electronic total energy	-35.92	eV/f.u.
E_form (uncorrected)	476	kJ/mol of formula units

a = 4.694 Å, b = 5.419 Å, c = 4.694 Å
α = 90.00°, β = 90.00°, γ = 90.00°
Element x y z (fractional)
Nb: 0.000 0.000 0.500
Nb: 0.500 0.000 0.000
Si: 0.000 0.000 0.000
Tc: 0.500 0.500 0.500
La: 0.000 0.500 0.000

=====

LaNbSn2: relaxed, GGA-PBE.

Calculated values
electronic total energy	-22.57	eV/f.u.
distance to the lowest polymorph of the same formula	0.249	eV/atom

a = 3.247 Å, b = 3.247 Å, c = 11.537 Å
α = 81.91°, β = 81.91°, γ = 60.00°
Element x y z (fractional)
Nb: 0.500 0.500 0.500
Sn: 0.097 0.097 0.708
Sn: 0.903 0.903 0.292
La: 0.000 0.000 0.000

=====

LaNb2Sn2: relaxed, GGA-PBE.

Calculated values
electronic total energy	-33.75	eV/f.u.
distance to the lowest polymorph of the same formula	0.209	eV/atom

a = 8.609 Å, b = 8.609 Å, c = 3.115 Å
α = 90.00°, β = 90.00°, γ = 90.00°
Element x y z (fractional)
Nb: 0.388 0.888 0.000
Nb: 0.888 0.612 0.000
Nb: 0.612 0.112 0.000
Nb: 0.112 0.388 0.000
Sn: 0.179 0.679 0.500
Sn: 0.679 0.821 0.500
Sn: 0.821 0.321 0.500
Sn: 0.321 0.179 0.500
La: 0.000 0.000 0.000
La: 0.500 0.500 0.000

=====

LaNb2Sn2: relaxed, GGA-PBE.

Calculated values
electronic total energy	-34.80	eV/f.u.
distance to the lowest polymorph of the same formula	0.000	eV/atom

a = 4.271 Å, b = 4.271 Å, c = 7.332 Å
α = 73.07°, β = 73.07°, γ = 90.00°
Element x y z (fractional)
Nb: 0.750 0.250 0.500
Nb: 0.250 0.750 0.500
Sn: 0.392 0.392 0.216
Sn: 0.608 0.608 0.784
La: 0.000 0.000 0.000

=====

La3NbSn: relaxed, GGA-PBE.

Calculated values
electronic total energy	-28.42	eV/f.u.
distance to the lowest polymorph of the same formula	0.000	eV/atom

a = 5.494 Å, b = 5.494 Å, c = 5.494 Å
α = 90.00°, β = 90.00°, γ = 90.00°
Element x y z (fractional)
Nb: 0.000 0.000 0.000
Sn: 0.500 0.500 0.500
La: 0.000 0.500 0.000
La: 0.000 0.000 0.500
La: 0.500 0.000 0.000

=====

LaNb3Sn: relaxed, GGA-PBE.

Calculated values
electronic total energy	-33.19	eV/f.u.

a = 5.170 Å, b = 5.170 Å, c = 5.170 Å
α = 90.00°, β = 90.00°, γ = 90.00°
Element x y z (fractional)
Nb: 0.000 0.500 0.000
Nb: 0.000 0.000 0.500
Nb: 0.500 0.000 0.000
Sn: 0.000 0.000 0.000
La: 0.500 0.500 0.500

=====

LaNbSn2: relaxed, GGA-PBE.

Calculated values
electronic total energy	-22.14	eV/f.u.
distance to the lowest polymorph of the same formula	0.357	eV/atom

a = 4.651 Å, b = 4.651 Å, c = 10.968 Å
α = 77.76°, β = 77.76°, γ = 90.00°
Element x y z (fractional)
Nb: 0.500 0.500 0.000
Nb: 0.250 0.750 0.500
Sn: 0.562 0.125 0.250
Sn: 0.188 0.625 0.250
Sn: 0.375 0.438 0.750
Sn: 0.875 0.812 0.750
La: 0.000 0.000 0.000
La: 0.750 0.250 0.500

=====

La2NbSn4: relaxed, GGA-PBE.

Calculated values
electronic total energy	-37.81	eV/f.u.

a = 5.301 Å, b = 5.301 Å, c = 8.833 Å
α = 72.54°, β = 72.54°, γ = 90.00°
Element x y z (fractional)
Nb: 0.000 0.000 0.000
Sn: 0.827 0.827 0.346
Sn: 0.173 0.173 0.654
Sn: 0.000 0.500 0.000
Sn: 0.500 0.000 0.000
La: 0.629 0.629 0.741
La: 0.371 0.371 0.259